# Tm2Be3GaIr4, optimized geometry, DFT PBE-GGA
data_Tm2Be3GaIr4
_symmetry_space_group_name_H-M 'P -4 m 2'
_symmetry_Int_Tables_number 115
_cell_length_a 4.0680
_cell_length_b 4.0680
_cell_length_c 9.3762
_cell_angle_alpha 90.00
_cell_angle_beta 90.00
_cell_angle_gamma 90.00
loop_
_symmetry_equiv_pos_as_xyz
'x,y,z'
'y,-x,-z'
'-x,-y,z'
'-y,x,-z'
'-x,y,z'
'-y,-x,-z'
'x,-y,z'
'y,x,-z'
loop_
_atom_site_label
_atom_site_type_symbol
_atom_site_fract_x
_atom_site_fract_y
_atom_site_fract_z
Tm1 Tm 0.0000 0.5000 0.2312
Be1 Be 0.0000 0.5000 0.8892
Be2 Be 0.5000 0.5000 0.5000
Ga1 Ga 0.0000 0.0000 0.5000
Ir1 Ir 0.0000 0.0000 0.0000
Ir2 Ir 0.0000 0.5000 0.6454
Ir3 Ir 0.5000 0.5000 0.0000
# DOS(E_F)	2.67	states/eV per cell
# total DFT energy (no corrections)	-65.4	eV/cell